Record 1
The following is a PBE calculation of crystalline AcNdNi2Sb2 at its relaxed geometry, from the Alexandria database.

The structure in extended XYZ format:
```
6
Lattice="-0.237 -2.072 3.910 -3.118 -0.699 -3.070 4.588 -6.520 -3.176" Properties=species:S:1:pos:R:3 pbc="T T T"
Ac 0.000 0.000 0.000
Nd 2.294 -3.260 -1.588
Ni 1.221 -5.959 -3.083
Ni 0.011 -3.332 0.746
Sb -0.942 -2.884 -1.585
Sb 2.175 -6.406 -0.751
```

Calculated values
**SG**: No. 164
**ρ**: 8.33 g/cm3
**Size of the total moment**: 0.00 μB per atom



Record 2
The following is a PBE calculation of crystalline AcNdSi2Ni2 at its relaxed geometry, from the Alexandria database.

The structure in extended XYZ format:
```
6
Lattice="-1.842 -0.761 3.542 3.431 -1.951 -0.966 4.687 6.358 3.803" Properties=species:S:1:pos:R:3 pbc="T T T"
Ac 0.000 0.000 0.000
Nd 2.344 3.179 1.902
Si 3.368 3.525 4.841
Si 2.908 0.120 1.538
Ni 1.143 0.507 3.035
Ni 5.134 3.139 3.344
```

Calculated values
**SG**: No. 164
**ρ**: 7.21 g/cm3
**Size of the total moment**: 0.00 μB per atom



Record 3
The following is a PBE calculation of crystalline AcNdNp2O8 at its relaxed geometry, from the Alexandria database.

The structure in extended XYZ format:
```
12
Lattice="5.570 0.000 0.000 0.000 5.570 0.000 -2.785 -2.785 5.429" Properties=species:S:1:pos:R:3 pbc="T T T"
Ac 2.785 0.000 2.715
Nd 0.000 0.000 0.000
Np 2.785 2.785 0.000
Np 0.000 2.785 2.715
O 4.207 4.023 1.339
O 1.363 1.547 1.339
O 1.239 1.422 4.094
O -1.239 -1.422 4.094
O 4.206 1.546 1.336
O 1.363 4.024 1.336
O -1.238 1.422 4.091
O 1.238 -1.422 4.091
```

Calculated values
**SG**: No. 119
**ρ**: 9.59 g/cm3
**Size of the total moment**: 0.33 μB per atom



Record 4
The following is a PBE calculation of crystalline Ac2NdNpO6 at its relaxed geometry, from the Alexandria database.

The structure in extended XYZ format:
```
20
Lattice="-4.252 -1.104 4.328 -2.395 -4.708 -3.553 5.508 -5.755 3.914" Properties=species:S:1:pos:R:3 pbc="T T T"
Ac -0.951 -5.935 -2.324
Ac 0.632 -7.487 3.214
Ac -0.188 -5.632 7.013
Ac -1.771 -4.080 1.475
Nd -2.126 -0.552 2.164
Nd 1.557 -5.232 0.180
Np 0.628 -3.430 4.121
Np -1.197 -2.354 -1.777
O -2.585 -3.969 -0.877
O -2.241 -7.957 2.823
O 1.446 -7.598 5.566
O 1.102 -3.610 1.866
O -0.633 -6.090 0.540
O -0.256 -10.014 4.289
O -0.506 -5.477 4.149
O -0.883 -1.554 0.400
O -3.681 -5.029 2.719
O 0.305 -9.112 1.185
O 2.542 -6.539 1.970
O -1.444 -2.455 3.504
```

Calculated values
**SG**: No. 14
**ρ**: 8.88 g/cm3
**Size of the total moment**: 0.40 μB per atom



Record 5
The following is a PBE calculation of crystalline AcNdO4 at its relaxed geometry, from the Alexandria database.

The structure in extended XYZ format:
```
6
Lattice="4.171 0.000 0.000 -2.085 3.433 -0.426 0.000 -0.069 6.748" Properties=species:S:1:pos:R:3 pbc="T T T"
Ac 0.000 0.336 0.074
Nd 0.000 3.033 2.856
O 2.085 1.146 5.317
O 0.000 2.769 0.492
O 0.000 0.647 2.623
O 2.086 2.195 4.228
```

Calculated values
**SG**: No. 8
**ρ**: 7.49 g/cm3
**Size of the total moment**: 0.00 μB per atom



Record 6
The following is a PBE calculation of crystalline Ac3NdO at its relaxed geometry, from the Alexandria database.

The structure in extended XYZ format:
```
5
Lattice="-4.018 1.354 3.396 2.212 -3.117 3.861 2.911 4.239 1.754" Properties=species:S:1:pos:R:3 pbc="T T T"
Ac 1.106 -1.558 1.930
Ac 1.456 2.119 0.877
Ac -2.009 0.677 1.698
Nd 0.553 1.238 4.505
O 0.000 0.000 0.000
```

Calculated values
**SG**: No. 221
**ρ**: 8.71 g/cm3
**Size of the total moment**: 0.00 μB per atom



Record 7
The following is a PBE calculation of crystalline AcNdO3 at its relaxed geometry, from the Alexandria database.

The structure in extended XYZ format:
```
10
Lattice="4.137 0.000 0.000 0.000 5.408 -2.723 0.000 -0.427 9.711" Properties=species:S:1:pos:R:3 pbc="T T T"
Ac 3.102 0.309 5.617
Ac 1.034 2.163 2.634
Nd 1.034 3.548 6.127
Nd 3.102 4.332 -0.599
O 3.102 0.903 3.190
O 3.102 2.801 6.925
O 1.034 5.079 -1.396
O 1.034 1.569 5.061
O 1.034 4.424 4.013
O 3.102 3.455 1.516
```

Calculated values
**SG**: No. 11
**ρ**: 6.55 g/cm3
**Size of the total moment**: 0.00 μB per atom



Record 8
The following is a PBE calculation of crystalline Ac2Nd4O at its relaxed geometry, from the Alexandria database.

The structure in extended XYZ format:
```
7
Lattice="-4.109 -2.915 0.512 2.238 -3.632 -2.727 4.509 -0.392 8.923" Properties=species:S:1:pos:R:3 pbc="T T T"
Ac 0.289 -4.530 1.570
Ac 2.349 -2.409 5.137
Nd 1.718 -5.995 4.695
Nd 0.921 -0.944 2.013
Nd 1.119 -1.816 -1.364
Nd -2.054 -1.458 0.256
O 0.000 0.000 0.000
```

Calculated values
**SG**: No. 139
**ρ**: 7.26 g/cm3
**Size of the total moment**: 0.00 μB per atom



Computed raw total energy (eV per atom) in order:
-5.601 -5.888 -9.338 -8.673 -7.614 -5.475 -8.041 -5.248
Computed uncorrected formation energy (eV per atom) in order:
-0.820 -0.674 -3.137 -3.106 -2.829 -1.064 -3.291 -0.641